Material: CaBi2O4
Method: DFT, GGA-PBE
State: optimized geometry

Results
Space group = Fdd2 (43)
Spin magnetization = 0.00 μB/cell
Theoretical density = 7.359 g/cm³

Cell: 6.676 6.676 6.915 Å, 104.62 104.62 118.49°
Element x y z (fractional)
O 0.947 0.691 0.165
O 0.526 0.782 0.835
O 0.941 0.697 0.665
O 0.032 0.276 0.335
O 0.535 0.791 0.317
O 0.469 0.224 0.183
O 0.474 0.219 0.683
O 0.041 0.285 0.817
Bi 0.213 0.803 0.005
Bi 0.053 0.963 0.505
Bi 0.798 0.208 0.995
Bi 0.458 0.548 0.495
Ca 0.500 0.500 0.000
Ca 0.750 0.250 0.500


Material: CaBi2O4
Method: DFT, GGA-PBE
State: optimized geometry

Results
Space group = Pbcm (57)
Spin magnetization = 0.00 μB/cell
Theoretical density = 7.693 g/cm³

Cell: 3.443 11.415 11.470 Å, 90.00 90.00 90.00°
Element x y z (fractional)
O 0.275 0.000 0.250
O 0.289 0.379 0.974
O 0.711 0.121 0.474
O 0.711 0.379 0.474
O 0.289 0.121 0.974
O 0.686 0.750 0.277
O 0.314 0.750 0.777
O 0.725 0.000 0.750
O 0.289 0.621 0.526
O 0.686 0.250 0.223
O 0.711 0.879 0.026
O 0.289 0.879 0.526
O 0.275 0.500 0.250
O 0.725 0.500 0.750
O 0.314 0.250 0.723
O 0.711 0.621 0.026
Bi 0.287 0.923 0.882
Bi 0.287 0.423 0.618
Bi 0.713 0.423 0.118
Bi 0.713 0.577 0.382
Bi 0.287 0.077 0.618
Bi 0.287 0.577 0.882
Bi 0.713 0.923 0.382
Bi 0.713 0.077 0.118
Ca 0.805 0.750 0.635
Ca 0.805 0.250 0.865
Ca 0.195 0.750 0.135
Ca 0.195 0.250 0.365


Material: CaBi2O4
Method: DFT, GGA-PBE
State: optimized geometry

Results
Space group = Pnma (62)
Spin magnetization = 0.00 μB/cell
Theoretical density = 8.009 g/cm³

Cell: 3.451 10.304 12.173 Å, 90.00 90.00 90.00°
Element x y z (fractional)
Bi 0.750 0.579 0.887
Bi 0.250 0.421 0.113
Bi 0.250 0.921 0.387
Bi 0.750 0.093 0.114
Bi 0.250 0.407 0.614
Bi 0.750 0.593 0.386
Bi 0.250 0.907 0.886
Bi 0.750 0.079 0.613
Ca 0.250 0.249 0.860
Ca 0.250 0.749 0.640
Ca 0.750 0.251 0.360
Ca 0.750 0.751 0.140
O 0.250 0.248 0.216
O 0.750 0.818 0.509
O 0.250 0.447 0.409
O 0.750 0.053 0.909
O 0.750 0.252 0.716
O 0.250 0.748 0.284
O 0.750 0.523 0.207
O 0.250 0.977 0.707
O 0.250 0.477 0.793
O 0.750 0.752 0.784
O 0.750 0.023 0.293
O 0.750 0.318 0.991
O 0.250 0.947 0.091
O 0.750 0.553 0.591
O 0.250 0.682 0.009
O 0.250 0.182 0.491


Material: Ca5Bi4O
Method: DFT, GGA-PBE
State: optimized geometry

Results
Space group = I4 (79)
Spin magnetization = 0.00 μB/cell
Theoretical density = 5.873 g/cm³

Cell: 6.501 7.506 7.506 Å, 79.19 64.34 64.34°
Element x y z (fractional)
Bi 0.836 0.732 0.609
Bi 0.178 0.268 0.391
Bi 0.569 0.609 0.268
Bi 0.445 0.391 0.732
Ca 0.416 0.000 0.000
Ca 0.231 0.874 0.666
Ca 0.897 0.334 0.874
Ca 0.771 0.126 0.334
Ca 0.106 0.666 0.126
O 0.061 0.000 0.000


Material: Ca2BiOsO8
Method: DFT, GGA-PBE
State: optimized geometry

Results
Space group = P2/m (10)
Spin magnetization = 0.00 μB/cell
Theoretical density = 5.778 g/cm³

Cell: 5.109 5.099 6.706 Å, 90.00 90.00 92.44°
Element x y z (fractional)
O 0.825 0.177 0.789
O 0.738 0.741 0.000
O 0.296 0.293 0.500
O 0.175 0.823 0.789
O 0.825 0.177 0.211
O 0.704 0.707 0.500
O 0.262 0.259 0.000
O 0.175 0.823 0.211
Bi 0.000 0.000 0.500
Os 0.000 0.000 0.000
Ca 0.500 0.500 0.756
Ca 0.500 0.500 0.244


Material: CaBi2P2O9
Method: DFT, GGA-PBE
State: optimized geometry

Results
Space group = Pnma (62)
Spin magnetization = 0.00 μB/cell
Theoretical density = 5.358 g/cm³

Cell: 7.154 7.151 16.090 Å, 90.00 90.00 90.00°
Element x y z (fractional)
O 0.750 0.392 0.420
O 0.932 0.088 0.141
O 0.250 0.608 0.580
O 0.422 0.106 0.360
O 0.250 0.096 0.749
O 0.078 0.394 0.860
O 0.750 0.249 0.755
O 0.250 0.749 0.745
O 0.568 0.088 0.141
O 0.250 0.234 0.981
O 0.750 0.904 0.251
O 0.578 0.606 0.140
O 0.250 0.587 0.970
O 0.068 0.912 0.859
O 0.750 0.734 0.519
O 0.750 0.413 0.030
O 0.250 0.892 0.080
O 0.250 0.913 0.470
O 0.750 0.596 0.751
O 0.250 0.404 0.249
O 0.750 0.251 0.255
O 0.568 0.412 0.641
O 0.932 0.412 0.641
O 0.750 0.766 0.019
O 0.578 0.894 0.640
O 0.422 0.394 0.860
O 0.432 0.588 0.359
O 0.922 0.894 0.640
O 0.068 0.588 0.359
O 0.750 0.087 0.530
O 0.250 0.266 0.481
O 0.432 0.912 0.859
O 0.250 0.751 0.245
O 0.750 0.108 0.920
O 0.078 0.106 0.360
O 0.922 0.606 0.140
Ca 0.250 0.076 0.223
Ca 0.750 0.576 0.277
Ca 0.750 0.924 0.777
Ca 0.250 0.424 0.723
P 0.750 0.421 0.694
P 0.250 0.094 0.418
P 0.750 0.906 0.582
P 0.250 0.579 0.306
P 0.750 0.079 0.194
P 0.250 0.921 0.806
P 0.750 0.594 0.082
P 0.250 0.406 0.918
Bi 0.500 0.500 0.500
Bi 0.250 0.903 0.616
Bi 0.000 0.500 0.500
Bi 0.000 0.000 0.000
Bi 0.750 0.097 0.384
Bi 0.500 0.000 0.000
Bi 0.750 0.403 0.884
Bi 0.250 0.597 0.116


Sequential formation energy (no corrections) output: -1657, -1636, -1665, -992, -1621, -2120 meV per atom